# 1
The following is a DFT calculation (GGA-PBE) of a geometry-optimized Sm5DyY4 structure.

```
data_Sm5DyY4
_chemical_formula_sum 'Sm5 Dy1 Y4'
_symmetry_space_group_name_H-M 'P -1'
_symmetry_Int_Tables_number 2
_cell_length_a 3.5724
_cell_length_b 9.2200
_cell_length_c 11.0280
_cell_angle_alpha 102.85
_cell_angle_beta 90.02
_cell_angle_gamma 101.06
loop_
_symmetry_equiv_pos_as_xyz
'x,y,z'
'-x,-y,-z'
loop_
_atom_site_label
_atom_site_type_symbol
_atom_site_fract_x
_atom_site_fract_y
_atom_site_fract_z
Sm1 Sm 0.0000 0.0000 0.0000
Sm2 Sm 0.3328 0.6628 0.9781
Sm3 Sm 0.3384 0.6742 0.5810
Dy1 Dy 0.0000 0.0000 0.5000
Y1 Y 0.1753 0.3556 0.7224
Y2 Y 0.4786 0.9563 0.2427
```

Properties
- V (A^3/atom) = 34.72
- ΔH_f (0 K) (kJ/mol of atoms) = 21
- raw total energy (eV per atom) = -5.186
- E above lowest polymorph (eV per atom) = 0.000

# 2
The following is a DFT calculation (GGA-PBE) of a geometry-optimized Sm5Dy2Y4 structure.

```
data_Sm5Dy2Y4
_chemical_formula_sum 'Sm10 Dy4 Y8'
_symmetry_space_group_name_H-M 'I m m m'
_symmetry_Int_Tables_number 71
_symmetry_space_group_name_Hall '-I 2 2'
_cell_length_a 3.5323
_cell_length_b 9.1291
_cell_length_c 23.4969
_cell_angle_alpha 90.00
_cell_angle_beta 90.00
_cell_angle_gamma 90.00
loop_
_atom_site_label
_atom_site_type_symbol
_atom_site_fract_x
_atom_site_fract_y
_atom_site_fract_z
Sm1 Sm 0.0000 0.0000 0.0000
Sm2 Sm 0.0000 0.3001 0.3533
Dy1 Dy 0.0000 0.5000 0.2313
Y1 Y 0.0000 0.1895 0.5000
Y2 Y 0.0000 0.5000 0.0979
```

Properties
- V (A^3/atom) = 34.44
- ΔH_f (0 K) (kJ/mol of atoms) = 22
- raw total energy (eV per atom) = -5.107
- E above lowest polymorph (eV per atom) = 0.079

# 3
The following is a DFT calculation (GGA-PBE) of a geometry-optimized Sm2DyY6 structure.

```
data_Sm2DyY6
_chemical_formula_sum 'Sm8 Dy4 Y24'
_symmetry_space_group_name_H-M 'I b a m'
_symmetry_Int_Tables_number 72
_symmetry_space_group_name_Hall '-I 2 2c'
_cell_length_a 9.7281
_cell_length_b 17.2862
_cell_length_c 6.9380
_cell_angle_alpha 90.00
_cell_angle_beta 90.00
_cell_angle_gamma 90.00
loop_
_atom_site_label
_atom_site_type_symbol
_atom_site_fract_x
_atom_site_fract_y
_atom_site_fract_z
Sm1 Sm 0.0000 0.1671 0.2500
Dy1 Dy 0.0000 0.5000 0.2500
Y1 Y 0.1657 0.3241 0.0000
Y2 Y 0.1685 0.0109 0.5000
Y3 Y 0.1697 0.3442 0.5000
```

Properties
- V (A^3/atom) = 32.41
- ΔH_f (0 K) (kJ/mol of atoms) = 7
- raw total energy (eV per atom) = -5.800
- E above lowest polymorph (eV per atom) = 0.000

# 4
The following is a DFT calculation (GGA-PBE) of a geometry-optimized Sm5Dy2Y structure.

```
data_Sm5Dy2Y
_chemical_formula_sum 'Sm10 Dy4 Y2'
_symmetry_space_group_name_H-M 'P -1'
_symmetry_Int_Tables_number 2
_cell_length_a 6.8373
_cell_length_b 9.3194
_cell_length_c 9.3229
_cell_angle_alpha 85.63
_cell_angle_beta 71.63
_cell_angle_gamma 71.73
loop_
_symmetry_equiv_pos_as_xyz
'x,y,z'
'-x,-y,-z'
loop_
_atom_site_label
_atom_site_type_symbol
_atom_site_fract_x
_atom_site_fract_y
_atom_site_fract_z
Sm1 Sm 0.0003 0.1661 0.0845
Sm2 Sm 0.2475 0.4599 0.0440
Sm3 Sm 0.2502 0.7938 0.2094
Sm4 Sm 0.4981 0.0862 0.1692
Sm5 Sm 0.4993 0.4180 0.3355
Dy1 Dy 0.0008 0.6666 0.5821
Dy2 Dy 0.2503 0.9577 0.5402
Y1 Y 0.2498 0.2896 0.7061
```

Properties
- V (A^3/atom) = 33.45
- ΔH_f (0 K) (kJ/mol of atoms) = 2
- raw total energy (eV per atom) = -4.887
- E above lowest polymorph (eV per atom) = 0.000

# 5
The following is a DFT calculation (GGA-PBE) of a geometry-optimized SmDy2Y structure.

```
data_SmDy2Y
_chemical_formula_sum 'Sm1 Dy2 Y1'
_symmetry_space_group_name_H-M 'P 4/m m m'
_symmetry_Int_Tables_number 123
_symmetry_space_group_name_Hall '-P 4 2'
_cell_length_a 3.5704
_cell_length_b 3.5704
_cell_length_c 10.1074
_cell_angle_alpha 90.00
_cell_angle_beta 90.00
_cell_angle_gamma 90.00
loop_
_atom_site_label
_atom_site_type_symbol
_atom_site_fract_x
_atom_site_fract_y
_atom_site_fract_z
Sm1 Sm 0.0000 0.0000 0.0000
Dy1 Dy 0.5000 0.5000 0.2512
Y1 Y 0.0000 0.0000 0.5000
```

Properties
- V (A^3/atom) = 32.21
- ΔH_f (0 K) (kJ/mol of atoms) = 2
- raw total energy (eV per atom) = -5.076
- E above lowest polymorph (eV per atom) = 0.007

# 6
The following is a DFT calculation (GGA-PBE) of a geometry-optimized Sm5Dy8Y structure.

```
data_Sm5Dy8Y
_chemical_formula_sum 'Sm10 Dy16 Y2'
_symmetry_space_group_name_H-M 'C 1 m 1'
_symmetry_Int_Tables_number 8
_cell_length_a 17.3045
_cell_length_b 3.5476
_cell_length_c 16.8481
_cell_angle_alpha 90.00
_cell_angle_beta 118.22
_cell_angle_gamma 90.00
loop_
_symmetry_equiv_pos_as_xyz
'x,y,z'
'x,-y,z'
'x+1/2,y+1/2,z'
'x+1/2,-y+1/2,z'
loop_
_atom_site_label
_atom_site_type_symbol
_atom_site_fract_x
_atom_site_fract_y
_atom_site_fract_z
Sm1 Sm 0.0000 0.0000 0.0000
Sm2 Sm 0.0685 0.0000 0.7028
Sm3 Sm 0.1399 0.5000 0.4141
Sm4 Sm 0.2089 0.5000 0.1169
Sm5 Sm 0.3544 0.0000 0.0584
Dy1 Dy 0.0012 0.5000 0.5001
Dy2 Dy 0.0706 0.5000 0.2042
Dy3 Dy 0.1382 0.0000 0.9127
Dy4 Dy 0.2071 0.0000 0.6168
Dy5 Dy 0.2725 0.5000 0.8350
Dy6 Dy 0.2750 0.0000 0.3360
Dy7 Dy 0.4336 0.0000 0.7810
Dy8 Dy 0.4362 0.5000 0.2818
Y1 Y 0.3542 0.5000 0.5585
```

Properties
- V (A^3/atom) = 32.55
- ΔH_f (0 K) (kJ/mol of atoms) = 4
- raw total energy (eV per atom) = -4.734

# 7
The following is a DFT calculation (GGA-PBE) of a geometry-optimized Sm8Dy3Y4 structure.

```
data_Sm8Dy3Y4
_chemical_formula_sum 'Sm16 Dy6 Y8'
_symmetry_space_group_name_H-M 'C 1 2/m 1'
_symmetry_Int_Tables_number 12
_cell_length_a 13.7406
_cell_length_b 12.1169
_cell_length_c 6.9106
_cell_angle_alpha 90.00
_cell_angle_beta 118.40
_cell_angle_gamma 90.00
loop_
_symmetry_equiv_pos_as_xyz
'x,y,z'
'-x,-y,-z'
'-x,y,-z'
'x,-y,z'
'x+1/2,y+1/2,z'
'-x+1/2,-y+1/2,-z'
'-x+1/2,y+1/2,-z'
'x+1/2,-y+1/2,z'
loop_
_atom_site_label
_atom_site_type_symbol
_atom_site_fract_x
_atom_site_fract_y
_atom_site_fract_z
Sm1 Sm 0.0000 0.2035 0.0000
Sm2 Sm 0.0000 0.2513 0.5000
Sm3 Sm 0.2014 0.0000 0.1779
Sm4 Sm 0.2468 0.5000 0.2854
Dy1 Dy 0.0000 0.0000 0.5000
Dy2 Dy 0.2500 0.2500 0.5000
Y1 Y 0.0000 0.5000 0.0000
Y2 Y 0.0000 0.5000 0.5000
Y3 Y 0.2500 0.2500 0.0000
```

Properties
- V (A^3/atom) = 33.74
- ΔH_f (0 K) (kJ/mol of atoms) = 33
- raw total energy (eV per atom) = -4.814

# 8
The following is a DFT calculation (GGA-PBE) of a geometry-optimized Sm3DyY5 structure.

```
data_Sm3DyY5
_chemical_formula_sum 'Sm12 Dy4 Y20'
_symmetry_space_group_name_H-M 'C 1 2/c 1'
_symmetry_Int_Tables_number 15
_cell_length_a 18.3027
_cell_length_b 6.3523
_cell_length_c 11.4804
_cell_angle_alpha 90.00
_cell_angle_beta 111.33
_cell_angle_gamma 90.00
loop_
_symmetry_equiv_pos_as_xyz
'x,y,z'
'-x,-y,-z'
'-x,y,-z+1/2'
'x,-y,z+1/2'
'x+1/2,y+1/2,z'
'-x+1/2,-y+1/2,-z'
'-x+1/2,y+1/2,-z+1/2'
'x+1/2,-y+1/2,z+1/2'
loop_
_atom_site_label
_atom_site_type_symbol
_atom_site_fract_x
_atom_site_fract_y
_atom_site_fract_z
Sm1 Sm 0.0000 0.0000 0.0000
Sm2 Sm 0.1711 0.1859 0.3752
Dy1 Dy 0.0000 0.1127 0.7500
Y1 Y 0.0000 0.4081 0.2500
Y2 Y 0.1588 0.3067 0.0151
Y3 Y 0.1697 0.2820 0.7123
```

Properties
- V (A^3/atom) = 34.54
- ΔH_f (0 K) (kJ/mol of atoms) = 28
- raw total energy (eV per atom) = -5.390
- E above lowest polymorph (eV per atom) = 0.236

Question: What is the formula in the fourth record?
Answer: Sm5Dy2Y